## LiDy2B2 (PBE)

Data for a geometry-optimized LiDy2B2 structure.

abc: 4.859 4.859 5.150
angles: 105.77 105.77 48.97
Fractional positions:
B1 0.079 0.079 0.138
B2 0.921 0.921 0.862
Dy1 0.820 0.820 0.301
Dy2 0.180 0.180 0.699
Li1 0.500 0.500 0.000

Total moment, μB per cell: 0.04
Raw total energy, eV for the cell shown: -24.619
Calculated density, g cm⁻³: 6.71
Space group: C2/m (12)

***

## LiDyB4 (PBE)

Data for a geometry-optimized LiDyB4 structure.

abc: 4.953 4.953 4.953
angles: 143.02 114.37 77.79
Fractional positions:
B1 0.569 0.244 0.324
B2 0.080 0.756 0.324
B3 0.920 0.244 0.676
B4 0.431 0.756 0.676
Dy1 0.500 0.500 0.000
Li1 0.000 0.000 0.000

Total moment, μB per cell: 0.00
Calculated density, g cm⁻³: 5.43
Distance to the lowest polymorph of the same formula, eV per atom: 0.000
Space group: Immm (71)

***

## LiDyB4 (PBE)

Data for a geometry-optimized LiDyB4 structure.

abc: 3.212 3.212 6.490
angles: 90.00 90.00 120.00
Fractional positions:
B1 0.667 0.333 0.210
B2 0.333 0.667 0.210
B3 0.667 0.333 0.790
B4 0.333 0.667 0.790
Dy1 0.000 0.000 0.500
Li1 0.000 0.000 0.000

Total moment, μB per cell: 0.00
Calculated density, g cm⁻³: 6.09
Distance to the lowest polymorph of the same formula, eV per atom: 0.045
Space group: P6/mmm (191)

***

## DyMgB4 (PBE)

Data for a geometry-optimized DyMgB4 structure.

abc: 3.186 3.186 7.349
angles: 90.00 90.00 120.00
Fractional positions:
B1 0.667 0.333 0.263
B2 0.333 0.667 0.263
B3 0.667 0.333 0.737
B4 0.333 0.667 0.737
Dy1 0.000 0.000 0.000
Mg1 0.000 0.000 0.500

Total moment, μB per cell: 0.00
Calculated density, g cm⁻³: 5.91
Distance to the lowest polymorph of the same formula, eV per atom: 0.013
Space group: P6/mmm (191)

***

## DyMgB4 (PBE)

Data for a geometry-optimized DyMgB4 structure.

abc: 4.942 4.942 4.942
angles: 142.26 113.07 79.48
Fractional positions:
B1 0.575 0.246 0.329
B2 0.083 0.754 0.329
B3 0.917 0.246 0.671
B4 0.425 0.754 0.671
Dy1 0.500 0.500 0.000
Mg1 0.000 0.000 0.000

Total moment, μB per cell: 0.00
Calculated density, g cm⁻³: 5.77
Distance to the lowest polymorph of the same formula, eV per atom: 0.000
Space group: Immm (71)

***

## DyB2Mo2 (PBE)

Data for a geometry-optimized DyB2Mo2 structure.

abc: 5.739 5.739 5.739
angles: 142.66 142.66 53.84
Fractional positions:
B1 0.410 0.410 0.000
B2 0.590 0.590 0.000
Dy1 0.000 0.000 0.000
Mo1 0.750 0.250 0.500
Mo2 0.250 0.750 0.500

Total moment, μB per cell: 0.00
Raw total energy, eV for the cell shown: -41.291
Calculated density, g cm⁻³: 9.04
Space group: I4/mmm (139)

***

## NdDy2Ni2B2N3 (PBE)

Data for a geometry-optimized NdDy2Ni2B2N3 structure.

abc: 10.465 10.465 10.465
angles: 160.64 160.64 27.51
Fractional positions:
B1 0.192 0.192 0.000
B2 0.808 0.808 0.000
Dy1 0.375 0.375 0.000
Dy2 0.625 0.625 0.000
N1 0.120 0.120 0.000
N2 0.500 0.500 0.000
N3 0.880 0.880 0.000
Nd1 0.000 0.000 0.000
Ni1 0.750 0.250 0.500
Ni2 0.250 0.750 0.500

Total moment, μB per cell: 0.00
Raw total energy, eV for the cell shown: -74.828
Calculated density, g cm⁻³: 8.58
Space group: I4/mmm (139)

***

## Nd2DyNi2B2N3 (PBE)

Data for a geometry-optimized Nd2DyNi2B2N3 structure.

abc: 10.387 10.387 10.387
angles: 160.13 160.13 28.25
Fractional positions:
B1 0.191 0.191 0.000
B2 0.809 0.809 0.000
Dy1 0.000 0.000 0.000
N1 0.118 0.118 0.000
N2 0.500 0.500 0.000
N3 0.882 0.882 0.000
Nd1 0.375 0.375 0.000
Nd2 0.625 0.625 0.000
Ni1 0.750 0.250 0.500
Ni2 0.250 0.750 0.500

Total moment, μB per cell: 0.00
Raw total energy, eV for the cell shown: -74.637
Calculated density, g cm⁻³: 8.11
Space group: I4/mmm (139)